DFT (PBE) results for a relaxed Mg2SbBr crystal.

POSCAR file:
```
Mg2SbBr
1.0
-4.083 -0.056 0.754
0.971 -5.176 4.871
1.038 -0.896 5.553
Mg Br Sb
2 1 1
direct
0.500 0.500 0.000
0.000 0.000 0.000
0.000 0.000 0.500
0.500 0.500 0.500
```

Properties
DFT total energy   -0.1053 Ha/atom
Raw formation energy   -618 meV/atom
Mass density   4.04 g cm⁻³
Relative energy among the computed polymorphs   0.07 eV per formula unit

---

DFT (PBE) results for a relaxed Sr2LiCdNi crystal.

POSCAR file:
```
Sr2LiCdNi
1.0
-5.315 -2.095 0.532
0.753 -0.471 5.669
-1.673 4.393 0.587
Sr Ni Li Cd
2 1 1 1
direct
0.500 0.000 0.000
0.000 0.500 0.000
0.000 0.000 0.000
0.000 0.000 0.500
0.500 0.500 0.500
```

Properties
Formation energy   0.01 eV/atom
DFT total energy   -0.0877 Ha/atom
Mass density   3.76 g cm⁻³
Relative energy among the computed polymorphs   0.17 eV per formula unit

---

Spin magnetization (computed, μB per formula unit): 0.0 0.0